(1)
VASP calculation (PBE-GGA) on a relaxed Zr2SeCl crystal.

Properties
Energy relative to the lowest polymorph listed for this composition ... 0 meV per atom
Space-group type ... No. 99
DFT total energy ... -6.585 eV per atom
E_form (uncorrected) ... -377.6 kJ/mol of formula units
DOS at the Fermi energy ... 2.294 states/eV per cell

a = 3.489 Å, b = 3.489 Å, c = 7.734 Å
α = 90.00°, β = 90.00°, γ = 90.00°
Positions (direct):
Zr 0.500 0.500 0.236
Zr 0.000 0.000 0.968
Cl 0.000 0.000 0.457
Se 0.500 0.500 0.839

=====

(2)
VASP calculation (PBE-GGA) on a relaxed Be2TcCl crystal.

Properties
Energy relative to the lowest polymorph listed for this composition ... 148 meV per atom
Space-group type ... No. 99
DFT total energy ... -4.643 eV per atom
E_form (uncorrected) ... 105.6 kJ/mol of formula units
DOS at the Fermi energy ... 2.731 states/eV per cell

a = 2.965 Å, b = 2.965 Å, c = 7.366 Å
α = 90.00°, β = 90.00°, γ = 90.00°
Each line ends with the local moment (μB).
Positions (direct):
Be 0.000 0.000 0.037  0.00
Be 0.500 0.500 0.198  0.00
Tc 0.500 0.500 0.901  0.33
Cl 0.000 0.000 0.363  0.00

=====

(3)
VASP calculation (PBE-GGA) on a relaxed KLiGa3 crystal.

Properties
DFT formation energy ... 0.13 eV/atom
Energy relative to the lowest polymorph listed for this composition ... 313 meV per atom
Space-group type ... No. 221
DFT total energy ... -2.292 eV per atom
DOS at the Fermi energy ... 2.163 states/eV per cell

a = 4.939 Å, b = 4.939 Å, c = 4.939 Å
α = 90.00°, β = 90.00°, γ = 90.00°
Positions (direct):
K 0.500 0.500 0.500
Ga 0.000 0.500 0.000
Ga 0.500 0.000 0.000
Ga 0.000 0.000 0.500
Li 0.000 0.000 0.000

=====

(4)
VASP calculation (PBE-GGA) on a relaxed Ho4PuSc crystal.

Properties
DFT formation energy ... 0.05 eV/atom
Energy relative to the lowest polymorph listed for this composition ... 0 meV per atom
Space-group type ... No. 36
DFT total energy ... -6.448 eV per atom
DOS at the Fermi energy ... 23.424 states/eV per cell

a = 3.473 Å, b = 9.140 Å, c = 11.169 Å
α = 90.00°, β = 90.00°, γ = 100.95°
Each line ends with the local moment (μB).
Positions (direct):
Pu 0.332 0.664 0.272  5.54
Pu 0.668 0.336 0.772  5.54
Ho 0.329 0.659 0.764  -0.04
Ho 0.000 0.999 0.270  -0.01
Ho 0.000 0.001 0.770  -0.01
Ho 0.558 0.117 0.017  -0.02
Ho 0.115 0.231 0.523  0.03
Ho 0.442 0.883 0.517  -0.02
Ho 0.671 0.341 0.264  -0.04
Ho 0.885 0.769 0.023  0.03
Sc 0.222 0.444 0.015  0.03
Sc 0.778 0.556 0.515  0.03